Record 1
Density functional theory data (PBE) for crystalline Ac2Pm3Zn2 at its relaxed geometry.

Properties
SG = Cmmm, No. 65
formation enthalpy at 0 K = -0.10 eV/atom
crystal system = orthorhombic

Cell: 3.783 3.747 16.074 Å, 90.00 96.76 90.00°
Element x y z (fractional)
Ac1 0.305 0.500 0.610
Ac2 0.695 0.500 0.390
Pm1 0.422 0.500 0.843
Pm2 0.578 0.500 0.157
Pm3 0.000 0.000 0.000
Zn1 0.131 0.000 0.261
Zn2 0.869 0.000 0.739

=====

Record 2
Density functional theory data (PBE) for crystalline Ac2PmZn at its relaxed geometry.

Properties
SG = P4/mmm, No. 123
formation enthalpy at 0 K = -0.11 eV/atom
crystal system = tetragonal
energy above the most stable polymorph in this dataset = 0.006 eV per atom

Cell: 3.905 3.905 9.207 Å, 90.00 90.00 90.00°
Element x y z (fractional)
Ac1 0.000 0.000 0.788
Ac2 0.000 0.000 0.212
Zn1 0.500 0.500 0.000
Pm1 0.500 0.500 0.500

=====

Record 3
Density functional theory data (PBE) for crystalline Ac2PmZn at its relaxed geometry.

Properties
SG = Fm-3m, No. 225
formation enthalpy at 0 K = 0.09 eV/atom
crystal system = cubic
energy above the most stable polymorph in this dataset = 0.202 eV per atom

Cell: 5.791 5.791 5.791 Å, 60.00 60.00 60.00°
Element x y z (fractional)
Ac1 0.250 0.250 0.250
Ac2 0.750 0.750 0.750
Zn1 0.500 0.500 0.500
Pm1 0.000 0.000 0.000

=====

Record 4
Density functional theory data (PBE) for crystalline AcPmZn2 at its relaxed geometry.

Properties
SG = P4/mmm, No. 123
formation enthalpy at 0 K = -0.27 eV/atom
crystal system = tetragonal
energy above the most stable polymorph in this dataset = 0.000 eV per atom

Cell: 3.785 3.785 7.571 Å, 90.00 90.00 90.00°
Element x y z (fractional)
Ac1 0.500 0.500 0.500
Zn1 0.000 0.000 0.779
Zn2 0.000 0.000 0.221
Pm1 0.500 0.500 0.000

=====

Record 5
Density functional theory data (PBE) for crystalline Ac3PmZn2 at its relaxed geometry.

Properties
SG = P4/mmm, No. 123
formation enthalpy at 0 K = -0.15 eV/atom
crystal system = tetragonal

Cell: 3.916 3.916 13.045 Å, 90.00 90.00 90.00°
Element x y z (fractional)
Ac1 0.000 0.000 0.000
Ac2 0.000 0.000 0.704
Ac3 0.000 0.000 0.296
Pm1 0.500 0.500 0.500
Zn1 0.500 0.500 0.849
Zn2 0.500 0.500 0.151

=====

Record 6
Density functional theory data (PBE) for crystalline Ac3PmZn4 at its relaxed geometry.

Properties
SG = P4/mmm, No. 123
formation enthalpy at 0 K = -0.25 eV/atom
crystal system = tetragonal

Cell: 3.851 3.851 15.367 Å, 90.00 90.00 90.00°
Element x y z (fractional)
Ac1 0.500 0.500 0.241
Ac2 0.500 0.500 0.500
Ac3 0.500 0.500 0.759
Zn1 0.000 0.000 0.894
Zn2 0.000 0.000 0.106
Zn3 0.000 0.000 0.372
Zn4 0.000 0.000 0.628
Pm1 0.500 0.500 0.000

=====

Record 7
Density functional theory data (PBE) for crystalline Ac2Pm2Zn at its relaxed geometry.

Properties
SG = I4/mmm, No. 139
formation enthalpy at 0 K = -0.08 eV/atom
crystal system = tetragonal

Cell: 3.861 3.861 12.035 Å, 99.23 99.23 90.00°
Element x y z (fractional)
Ac1 0.583 0.583 0.167
Ac2 0.417 0.417 0.833
Pm1 0.800 0.800 0.600
Pm2 0.200 0.200 0.400
Zn1 0.000 0.000 0.000

=====

Record 8
Density functional theory data (PBE) for crystalline Ac2PmZn at its relaxed geometry.

Properties
SG = I4/mmm, No. 139
formation enthalpy at 0 K = -0.11 eV/atom
crystal system = tetragonal
energy above the most stable polymorph in this dataset = 0.000 eV per atom

Cell: 5.455 5.455 10.040 Å, 105.76 105.76 90.00°
Element x y z (fractional)
Ac1 0.000 0.500 0.000
Ac2 0.500 0.000 0.000
Ac3 0.353 0.353 0.705
Ac4 0.647 0.647 0.295
Pm1 0.154 0.154 0.308
Pm2 0.846 0.846 0.692
Zn1 0.250 0.750 0.500
Zn2 0.750 0.250 0.500

=====

Record 9
Density functional theory data (PBE) for crystalline AcPmZn2 at its relaxed geometry.

Properties
SG = Fm-3m, No. 225
formation enthalpy at 0 K = -0.25 eV/atom
crystal system = cubic
energy above the most stable polymorph in this dataset = 0.015 eV per atom

Cell: 5.358 5.358 5.358 Å, 60.00 60.00 60.00°
Element x y z (fractional)
Ac1 0.500 0.500 0.500
Zn1 0.250 0.250 0.250
Zn2 0.750 0.750 0.750
Pm1 0.000 0.000 0.000

=====

Record 10
Density functional theory data (PBE) for crystalline AcPm2Zr at its relaxed geometry.

Properties
SG = P4/mmm, No. 123
formation enthalpy at 0 K = 0.18 eV/atom
crystal system = tetragonal
energy above the most stable polymorph in this dataset = 0.006 eV per atom

Cell: 5.142 5.050 5.050 Å, 90.00 90.00 90.00°
Element x y z (fractional)
Ac1 0.500 0.500 0.500
Zr1 0.500 0.000 0.000
Pm1 0.000 0.000 0.500
Pm2 0.000 0.500 0.000

=====

Record 11
Density functional theory data (PBE) for crystalline AcPm2Zr at its relaxed geometry.

Properties
SG = P4/mmm, No. 123
formation enthalpy at 0 K = 0.19 eV/atom
crystal system = tetragonal
energy above the most stable polymorph in this dataset = 0.024 eV per atom

Cell: 4.091 4.091 7.977 Å, 90.00 90.00 90.00°
Element x y z (fractional)
Ac1 0.500 0.500 0.500
Zr1 0.500 0.500 0.000
Pm1 0.000 0.000 0.796
Pm2 0.000 0.000 0.204

=====

Record 12
Density functional theory data (PBE) for crystalline Ac2PmZr at its relaxed geometry.

Properties
SG = R-3m, No. 166
formation enthalpy at 0 K = 0.46 eV/atom
crystal system = trigonal

Cell: 3.622 3.622 12.841 Å, 81.89 81.89 60.00°
Element x y z (fractional)
Ac1 0.084 0.084 0.748
Ac2 0.916 0.916 0.252
Zr1 0.000 0.000 0.000
Pm1 0.500 0.500 0.500

=====

Calculated volume across the listed records, respectively: 32.33, 35.10, 34.33, 27.12, 33.35, 28.49, 34.95, 34.48, 27.19, 32.78, 33.37, 35.98 Å³/atom.